Entry 1:
{"formula": "MnH2Pd4", "functional": "PBE", "state": "relaxed", "energy_ev_per_cell": -75.28, "polymorph_energy_ev_per_atom": 0.011, "density_g_cm3": 9.8, "volume_a3_per_atom": 11.641, "lattice": [[-4.220, -2.254, -0.935], [2.849, -3.538, 3.402], [-3.618, 6.082, 2.441]], "species": ["Mn", "Mn", "H", "H", "H", "H", "Pd", "Pd", "Pd", "Pd", "Pd", "Pd", "Pd", "Pd"], "fractional_positions": [[0.133, 0.737, 0.442], [0.916, 0.100, 0.008], [0.566, 0.664, 0.896], [0.771, 0.776, 0.293], [0.773, 0.288, 0.339], [0.999, 0.395, 0.726], [0.109, 0.222, 0.415], [0.514, 0.410, 0.225], [0.715, 0.522, 0.631], [0.716, 0.009, 0.624], [0.503, 0.909, 0.223], [0.306, 0.299, 0.822], [0.313, 0.816, 0.825], [0.915, 0.605, 0.031]]}

---

Entry 2:
{"formula": "Pa4B3Rh12Au", "functional": "PBE", "state": "relaxed", "energy_ev_per_cell": -159.06, "formation_enthalpy_0k_ev_per_atom": -0.48, "density_g_cm3": 11.9, "volume_a3_per_atom": 16.616, "lattice": [[-3.591, 6.547, -1.169], [-3.478, -3.833, 5.508], [7.153, 1.375, 2.016]], "species": ["Pa", "Pa", "Pa", "Pa", "B", "B", "B", "Rh", "Rh", "Rh", "Rh", "Rh", "Rh", "Rh", "Rh", "Rh", "Rh", "Rh", "Rh", "Au"], "fractional_positions": [[0.500, 0.500, 0.500], [0.000, 0.000, 0.500], [0.500, 0.000, 0.000], [0.000, 0.500, 0.000], [0.500, 0.000, 0.500], [0.500, 0.500, 0.000], [0.000, 0.500, 0.500], [0.250, 0.500, 0.750], [0.717, 0.000, 0.717], [0.283, 0.000, 0.283], [0.750, 0.500, 0.250], [0.717, 0.717, 0.000], [0.283, 0.283, 0.000], [0.750, 0.250, 0.500], [0.250, 0.750, 0.500], [0.500, 0.250, 0.750], [0.000, 0.717, 0.717], [0.500, 0.750, 0.250], [0.000, 0.283, 0.283], [0.000, 0.000, 0.000]]}

---

Entry 3:
{"formula": "NaScBr3", "functional": "PBE", "state": "relaxed", "raw_formation_energy_mev_per_atom": -1334, "energy_ev_per_cell": -19.34, "polymorph_energy_ev_per_atom": 0.157, "density_g_cm3": 3.2, "volume_a3_per_atom": 31.440, "lattice": [[5.397, 0.000, 0.000], [0.000, 5.397, 0.000], [0.000, 0.000, 5.397]], "species": ["Sc", "Na", "Br", "Br", "Br"], "fractional_positions": [[0.000, 0.000, 0.000], [0.500, 0.500, 0.500], [0.000, 0.500, 0.000], [0.000, 0.000, 0.500], [0.500, 0.000, 0.000]]}